The following is a DFT calculation (SCAN) of a PBEsol-optimized structure of BaNb2Ni2.

Properties
Symmetry: No. 139

Unit cell a=4.1852 b=4.1852 c=6.4480 alpha=108.94 beta=108.94 gamma=90.00
With the nearest neighbours (Å) after each atom.
Fractional coordinates of all 5 atoms:
1 Nb 0.2500 0.7500 0.5000  4 Ni 2.55
2 Ni 0.3765 0.3765 0.7530  4 Nb 2.55, 1 Ni 2.83
3 Ba 0.0000 0.0000 0.0000  8 Ni 3.28, 8 Nb 3.55
4 Ni 0.6235 0.6235 0.2470  4 Nb 2.55, 1 Ni 2.83
5 Nb 0.7500 0.2500 0.5000  4 Ni 2.55

The following is a DFT calculation (SCAN) of a PBEsol-optimized structure of Na5Pt.

Properties
Relative energy among the computed polymorphs in meV/atom: 387
Symmetry: No. 191

Unit cell a=5.6561 b=5.6561 c=5.6770 alpha=90.00 beta=90.00 gamma=120.00
With the nearest neighbours (Å) after each atom.
Fractional coordinates of all 6 atoms:
1 Na 0.3333 0.6667 0.0000  9 Na 3.27, 3 Pt 3.27
2 Pt 0.0000 0.0000 0.0000  6 Na 3.27
3 Na 0.0000 0.5000 0.5000  4 Na 2.83
4 Na 0.5000 0.5000 0.5000  4 Na 2.83
5 Na 0.6667 0.3333 0.0000  9 Na 3.27, 3 Pt 3.27
6 Na 0.5000 0.0000 0.5000  4 Na 2.83

The calculation returns the following electronic total energy values, one per record and in order: -27.280, -14.852 eV per atom.
The calculation returns the following total moment values, one per record and in order: 0.0, 0.0 Bohr magnetons per cell.
The calculation returns the following DFT formation energy values, one per record and in order: 0.3514, 0.3594 eV/atom.